Entry from the Alexandria database: an optimized crystal structure of Sm2AlPt6 (PBE).

```
Sm2AlPt6
1.0
-4.857 -2.856 -0.587
3.937 -0.249 -4.031
2.983 -5.361 1.395
Sm Pt Al
2 6 1
Direct
0.355 0.710 0.858
0.645 0.290 0.142
0.609 0.733 0.309
0.391 0.267 0.691
0.120 0.241 0.308
0.124 0.733 0.309
0.876 0.267 0.691
0.880 0.759 0.692
0.000 0.000 0.000
```

Computed properties:
**Calculated total energy**: -58.9 eV for the cell shown
**Total magnetization**: 0.00 μB/f.u.
**Space-group type**: C2/m
**Fermi-level density of states**: 3.2 states/eV/cell



Entry from the Alexandria database: an optimized crystal structure of Sm2Al6Pt (PBE).

```
Sm2Al6Pt
1.0
-2.326 -3.092 -4.459
-3.355 -2.971 3.810
-5.349 2.009 1.397
Al Sm Pt
6 2 1
Direct
0.679 0.173 0.173
0.321 0.827 0.346
0.321 0.346 0.827
0.679 0.173 0.654
0.321 0.827 0.827
0.679 0.654 0.173
0.138 0.333 0.333
0.862 0.667 0.667
0.000 0.000 0.000
```

Computed properties:
**Calculated total energy**: -43.4 eV for the cell shown
**Total magnetization**: 0.00 μB/f.u.
**Space-group type**: P-3m1
**Fermi-level density of states**: 6.8 states/eV/cell